# 1
# YSb3As | Alexandria via LeMat-Bulk | GGA-PBE | relaxed
# Formation energy from raw total energies, eV per atom: 0.717
# Uncorrected energy, eV/atom: -3.9792
# Offset from the most stable computed form, meV per atom: 511
data_YSb3As
_chemical_formula_sum 'Y1 Sb3 As1'
_cell_length_a 5.727
_cell_length_b 5.727
_cell_length_c 5.727
_cell_angle_alpha 90.00
_cell_angle_beta 90.00
_cell_angle_gamma 90.00
_space_group_name_H-M_alt 'P m -3 m'
_space_group_IT_number 221
_space_group_name_Hall '-P 4 2 3'
loop_
_atom_site_label
_atom_site_type_symbol
_atom_site_fract_x
_atom_site_fract_y
_atom_site_fract_z
Y1 Y 0.000 0.000 0.000
Sb1 Sb 0.000 0.000 0.500
As1 As 0.500 0.500 0.500

=====

# 2
# YSbAs | Alexandria via LeMat-Bulk | GGA-PBE | relaxed
# Formation energy from raw total energies, eV per atom: -0.452
# Uncorrected energy, eV/atom: -5.5303
# Offset from the most stable computed form, meV per atom: 293
data_YSbAs
_chemical_formula_sum 'Y1 Sb1 As1'
_cell_length_a 4.8366
_cell_length_b 4.8366
_cell_length_c 3.8024
_cell_angle_alpha 90.00
_cell_angle_beta 90.00
_cell_angle_gamma 120.00
_space_group_name_H-M_alt 'P -6 m 2'
_space_group_IT_number 187
_space_group_name_Hall 'P -6 2'
loop_
_atom_site_label
_atom_site_type_symbol
_atom_site_fract_x
_atom_site_fract_y
_atom_site_fract_z
Y1 Y 0.0000 0.0000 0.0000
Sb1 Sb 0.3333 0.6667 0.5000
As1 As 0.6667 0.3333 0.5000

=====

# 3
# YSbAs | Alexandria via LeMat-Bulk | GGA-PBE | relaxed
# Formation energy from raw total energies, eV per atom: -0.411
# Uncorrected energy, eV/atom: -5.4897
# Offset from the most stable computed form, meV per atom: 334
data_YSbAs
_chemical_formula_sum 'Y4 Sb4 As4'
_cell_length_a 6.930
_cell_length_b 6.930
_cell_length_c 6.930
_cell_angle_alpha 90.00
_cell_angle_beta 90.00
_cell_angle_gamma 90.00
_space_group_name_H-M_alt 'F -4 3 m'
_space_group_IT_number 216
_space_group_name_Hall 'F -4 2 3'
loop_
_atom_site_label
_atom_site_type_symbol
_atom_site_fract_x
_atom_site_fract_y
_atom_site_fract_z
Y1 Y 0.000 0.000 0.000
Sb1 Sb 0.000 0.000 0.500
As1 As 0.250 0.250 0.250

=====

# 4
# YSb2As2 | Alexandria via LeMat-Bulk | GGA-PBE | relaxed
# Formation energy from raw total energies, eV per atom: -0.178
# Uncorrected energy, eV/atom: -4.9798
# Offset from the most stable computed form, meV per atom: 201
data_YSb2As2
_chemical_formula_sum 'Y2 Sb4 As4'
_cell_length_a 4.070
_cell_length_b 4.070
_cell_length_c 16.928
_cell_angle_alpha 90.00
_cell_angle_beta 90.00
_cell_angle_gamma 90.00
_space_group_name_H-M_alt 'I 4/m m m'
_space_group_IT_number 139
_space_group_name_Hall '-I 4 2'
loop_
_atom_site_label
_atom_site_type_symbol
_atom_site_fract_x
_atom_site_fract_y
_atom_site_fract_z
Y1 Y 0.000 0.000 0.000
Sb1 Sb 0.000 0.500 0.250
As1 As 0.000 0.000 0.426

=====

# 5
# YSbAs | Alexandria via LeMat-Bulk | GGA-PBE | relaxed
# Formation energy from raw total energies, eV per atom: -0.734
# Uncorrected energy, eV/atom: -5.8128
# Offset from the most stable computed form, meV per atom: 11
data_YSbAs
_chemical_formula_sum 'Y4 Sb4 As4'
_cell_length_a 3.932
_cell_length_b 3.932
_cell_length_c 22.020
_cell_angle_alpha 90.00
_cell_angle_beta 90.00
_cell_angle_gamma 90.00
_space_group_name_H-M_alt 'I 4/m m m'
_space_group_IT_number 139
_space_group_name_Hall '-I 4 2'
loop_
_atom_site_label
_atom_site_type_symbol
_atom_site_fract_x
_atom_site_fract_y
_atom_site_fract_z
Y1 Y 0.000 0.000 0.159
Sb1 Sb 0.000 0.000 0.427
As1 As 0.000 0.000 0.304

=====

# 6
# Y4SbAs2 | Alexandria via LeMat-Bulk | GGA-PBE | relaxed
# Formation energy from raw total energies, eV per atom: -1.221
# Uncorrected energy, eV/atom: -6.8319
data_Y4SbAs2
_chemical_formula_sum 'Y16 Sb4 As8'
_cell_length_a 4.167
_cell_length_b 13.446
_cell_length_c 13.714
_cell_angle_alpha 90.00
_cell_angle_beta 90.00
_cell_angle_gamma 90.00
_space_group_name_H-M_alt 'C m c m'
_space_group_IT_number 63
_space_group_name_Hall '-C 2c 2'
loop_
_atom_site_label
_atom_site_type_symbol
_atom_site_fract_x
_atom_site_fract_y
_atom_site_fract_z
Y1 Y 0.000 0.000 0.000
Y2 Y 0.000 0.267 0.120
Y3 Y 0.000 0.441 0.750
Sb1 Sb 0.000 0.108 0.750
As1 As 0.000 0.365 0.559

=====

# 7
# Y2SbAs2 | Alexandria via LeMat-Bulk | GGA-PBE | relaxed
# Formation energy from raw total energies, eV per atom: -0.973
# Uncorrected energy, eV/atom: -6.2428
# Offset from the most stable computed form, meV per atom: 0
data_Y2SbAs2
_chemical_formula_sum 'Y4 Sb2 As4'
_cell_length_a 3.965
_cell_length_b 3.965
_cell_length_c 15.687
_cell_angle_alpha 90.00
_cell_angle_beta 90.00
_cell_angle_gamma 90.00
_space_group_name_H-M_alt 'I 4/m m m'
_space_group_IT_number 139
_space_group_name_Hall '-I 4 2'
loop_
_atom_site_label
_atom_site_type_symbol
_atom_site_fract_x
_atom_site_fract_y
_atom_site_fract_z
Y1 Y 0.000 0.000 0.110
Sb1 Sb 0.000 0.000 0.500
As1 As 0.000 0.500 0.250

=====

# 8
# Y2SbAs2 | Alexandria via LeMat-Bulk | GGA-PBE | relaxed
# Formation energy from raw total energies, eV per atom: -0.924
# Uncorrected energy, eV/atom: -6.1936
# Offset from the most stable computed form, meV per atom: 49
data_Y2SbAs2
_chemical_formula_sum 'Y4 Sb2 As4'
_cell_length_a 7.919
_cell_length_b 7.919
_cell_length_c 3.874
_cell_angle_alpha 90.00
_cell_angle_beta 90.00
_cell_angle_gamma 90.00
_space_group_name_H-M_alt 'P 4/m b m'
_space_group_IT_number 127
_space_group_name_Hall '-P 4 2ab'
loop_
_atom_site_label
_atom_site_type_symbol
_atom_site_fract_x
_atom_site_fract_y
_atom_site_fract_z
Y1 Y 0.160 0.340 0.000
Sb1 Sb 0.000 0.000 0.500
As1 As 0.146 0.646 0.500

=====

# 9
# YSb3As | Alexandria via LeMat-Bulk | GGA-PBE | relaxed
# Formation energy from raw total energies, eV per atom: 0.206
# Uncorrected energy, eV/atom: -4.4902
# Offset from the most stable computed form, meV per atom: 0
data_YSb3As
_chemical_formula_sum 'Y1 Sb3 As1'
_cell_length_a 5.327
_cell_length_b 5.327
_cell_length_c 5.327
_cell_angle_alpha 90.00
_cell_angle_beta 90.00
_cell_angle_gamma 90.00
_space_group_name_H-M_alt 'P m -3 m'
_space_group_IT_number 221
_space_group_name_Hall '-P 4 2 3'
loop_
_atom_site_label
_atom_site_type_symbol
_atom_site_fract_x
_atom_site_fract_y
_atom_site_fract_z
Y1 Y 0.000 0.000 0.000
Sb1 Sb 0.000 0.500 0.500
As1 As 0.500 0.500 0.500

=====

# 10
# Y2SbAs2 | Alexandria via LeMat-Bulk | GGA-PBE | relaxed
# Formation energy from raw total energies, eV per atom: -0.861
# Uncorrected energy, eV/atom: -6.1314
# Offset from the most stable computed form, meV per atom: 111
data_Y2SbAs2
_chemical_formula_sum 'Y4 Sb2 As4'
_cell_length_a 8.012
_cell_length_b 8.012
_cell_length_c 3.859
_cell_angle_alpha 90.00
_cell_angle_beta 90.00
_cell_angle_gamma 90.00
_space_group_name_H-M_alt 'P 4/m b m'
_space_group_IT_number 127
_space_group_name_Hall '-P 4 2ab'
loop_
_atom_site_label
_atom_site_type_symbol
_atom_site_fract_x
_atom_site_fract_y
_atom_site_fract_z
Y1 Y 0.154 0.346 0.000
Sb1 Sb 0.000 0.000 0.000
As1 As 0.154 0.654 0.500

=====

# 11
# YSbAs3 | Alexandria via LeMat-Bulk | GGA-PBE | relaxed
# Formation energy from raw total energies, eV per atom: 0.338
# Uncorrected energy, eV/atom: -4.5695
# Offset from the most stable computed form, meV per atom: 0
data_YSbAs3
_chemical_formula_sum 'Y1 Sb1 As3'
_cell_length_a 5.194
_cell_length_b 5.194
_cell_length_c 5.194
_cell_angle_alpha 90.00
_cell_angle_beta 90.00
_cell_angle_gamma 90.00
_space_group_name_H-M_alt 'P m -3 m'
_space_group_IT_number 221
_space_group_name_Hall '-P 4 2 3'
loop_
_atom_site_label
_atom_site_type_symbol
_atom_site_fract_x
_atom_site_fract_y
_atom_site_fract_z
Y1 Y 0.000 0.000 0.000
Sb1 Sb 0.500 0.500 0.500
As1 As 0.000 0.500 0.500

=====

# 12
# YSbAs3 | Alexandria via LeMat-Bulk | GGA-PBE | relaxed
# Formation energy from raw total energies, eV per atom: 0.507
# Uncorrected energy, eV/atom: -4.4002
# Offset from the most stable computed form, meV per atom: 169
data_YSbAs3
_chemical_formula_sum 'Y1 Sb1 As3'
_cell_length_a 5.381
_cell_length_b 5.381
_cell_length_c 5.381
_cell_angle_alpha 90.00
_cell_angle_beta 90.00
_cell_angle_gamma 90.00
_space_group_name_H-M_alt 'P m -3 m'
_space_group_IT_number 221
_space_group_name_Hall '-P 4 2 3'
loop_
_atom_site_label
_atom_site_type_symbol
_atom_site_fract_x
_atom_site_fract_y
_atom_site_fract_z
Y1 Y 0.000 0.000 0.000
Sb1 Sb 0.500 0.500 0.500
As1 As 0.000 0.000 0.500

=====

# 13
# YSbAs4 | Alexandria via LeMat-Bulk | GGA-PBE | relaxed
# Formation energy from raw total energies, eV per atom: -0.074
# Uncorrected energy, eV/atom: -4.9386
data_YSbAs4
_chemical_formula_sum 'Y4 Sb4 As16'
_cell_length_a 8.068
_cell_length_b 8.068
_cell_length_c 8.068
_cell_angle_alpha 90.00
_cell_angle_beta 90.00
_cell_angle_gamma 90.00
_space_group_name_H-M_alt 'F -4 3 m'
_space_group_IT_number 216
_space_group_name_Hall 'F -4 2 3'
loop_
_atom_site_label
_atom_site_type_symbol
_atom_site_fract_x
_atom_site_fract_y
_atom_site_fract_z
Y1 Y 0.000 0.000 0.000
Sb1 Sb 0.250 0.250 0.250
As1 As 0.125 0.125 0.625

=====

# 14
# Y4SbAs3 | Alexandria via LeMat-Bulk | GGA-PBE | relaxed
# Formation energy from raw total energies, eV per atom: -1.436
# Uncorrected energy, eV/atom: -6.9272
data_Y4SbAs3
_chemical_formula_sum 'Y8 Sb2 As6'
_cell_length_a 8.401
_cell_length_b 11.858
_cell_length_c 4.183
_cell_angle_alpha 90.00
_cell_angle_beta 90.00
_cell_angle_gamma 90.00
_space_group_name_H-M_alt 'C m m m'
_space_group_IT_number 65
_space_group_name_Hall '-C 2 2'
loop_
_atom_site_label
_atom_site_type_symbol
_atom_site_fract_x
_atom_site_fract_y
_atom_site_fract_z
Y1 Y 0.000 0.245 0.000
Y2 Y 0.239 0.000 0.500
Sb1 Sb 0.000 0.500 0.000
As1 As 0.000 0.000 0.000
As2 As 0.250 0.250 0.500